DFT (PBE) results for a geometry-optimized NpTi2Pd structure.

Computed properties:
- M_tot: 2.7 μB/f.u.
- Energy of formation: 0.124 eV per atom
- E above lowest polymorph: 222.3 meV per atom
- N(E_F): 8.4 states/eV per cell

Cell: 2.8322 2.8322 10.1565 Å, 81.99 81.99 60.00°
With the nearest neighbours (Å) after each atom.
Sites, in units of the cell vectors:
Np 0.0000 0.0000 0.0000  2 Ti 2.79, 6 Np 2.83
Pd 0.5000 0.5000 0.5000  6 Ti 2.76, 6 Pd 2.83
Ti 0.0927 0.0927 0.7218  3 Pd 2.76, 1 Np 2.79, 6 Ti 2.83
Ti 0.9073 0.9073 0.2782  3 Pd 2.76, 1 Np 2.79, 6 Ti 2.83